First-principles (PBE) data for crystalline SmDy2Sc3S6 at its relaxed geometry, as listed in Alexandria via LeMat-Bulk.

Calculated values
The value obtained for the uncorrected formation energy is -1.924 eV per atom. The calculation puts the total energy at -6.73 eV/atom.

POSCAR file:
```
SmDy2Sc3S6
1.0
-2.3911 2.2095 -1.9642
-0.2308 -5.2362 -5.6092
-5.0283 -3.3552 6.0272
S Sc Dy Sm
6 3 2 1
Direct
0.0034 0.7341 0.0067
0.6731 0.0760 0.3462
0.3269 0.9240 0.6538
0.3365 0.4081 0.6730
0.9966 0.2659 0.9933
0.6635 0.5919 0.3270
0.8348 0.1661 0.6697
0.1652 0.8339 0.3303
0.5000 0.5000 0.0000
0.1659 0.3316 0.3319
0.8341 0.6684 0.6681
0.5000 0.0000 0.0000
```